Entry 1:
First-principles (GGA-PBE) data for Cs3NaPa3Se8 after structural relaxation, as listed in the Alexandria database.

Summary:
As for the volume: 533.4 Å³/f.u. For the mass density, the calculation gives 5.44 g/cm³. The final energy is -5.37 eV/atom. Its formation energy (no corrections) is -20.330 eV per formula unit.

a = 8.5355 Å, b = 8.5355 Å, c = 9.7867 Å
α = 115.87°, β = 90.00°, γ = 120.00°
Each line ends with the local moment (μB).
Element x y z (fractional)
Cs1 0.0000 0.0000 0.0000  0.00
Cs2 0.0000 0.5000 0.0000  0.00
Cs3 0.5000 0.5000 0.0000  0.00
Na1 0.0000 0.0000 0.5000  0.00
Pa1 0.5000 0.0000 0.5000  0.97
Pa2 0.5000 0.5000 0.5000  0.97
Pa3 0.0000 0.5000 0.5000  0.97
Se1 0.2707 0.5415 0.3123  -0.02
Se2 0.7293 0.4585 0.6877  -0.02
Se3 0.7608 0.5216 0.3157  -0.03
Se4 0.2392 0.4784 0.6843  -0.03
Se5 0.7609 0.0547 0.3157  -0.03
Se6 0.2391 0.9453 0.6843  -0.03
Se7 0.2938 0.0547 0.3157  -0.03
Se8 0.7062 0.9453 0.6843  -0.03

***

Entry 2:
First-principles (GGA-PBE) data for CsNa3Pa4Te12 after structural relaxation, as listed in the Alexandria database.

Summary:
As for the volume: 758.8 Å³/f.u. For the mass density, the calculation gives 5.81 g/cm³. The final energy is -4.87 eV/atom. Its formation energy (no corrections) is -16.825 eV per formula unit.

a = 9.9522 Å, b = 9.9522 Å, c = 9.9522 Å
α = 109.47°, β = 109.47°, γ = 109.47°
Element x y z (fractional)
Cs1 0.0000 0.0000 0.0000
Na1 0.0000 0.5000 0.5000
Na2 0.5000 0.5000 0.0000
Na3 0.5000 0.0000 0.5000
Pa1 0.5000 0.0000 0.0000
Pa2 0.5000 0.5000 0.5000
Pa3 0.0000 0.5000 0.0000
Pa4 0.0000 0.0000 0.5000
Te1 0.2972 0.8054 0.1026
Te2 0.7028 0.1946 0.8974
Te3 0.7028 0.8054 0.5082
Te4 0.8974 0.7028 0.1946
Te5 0.8054 0.1026 0.2972
Te6 0.1946 0.4918 0.2972
Te7 0.4918 0.2972 0.1946
Te8 0.1946 0.8974 0.7028
Te9 0.2972 0.1946 0.4918
Te10 0.1026 0.2972 0.8054
Te11 0.8054 0.5082 0.7028
Te12 0.5082 0.7028 0.8054

***

Entry 3:
First-principles (GGA-PBE) data for CsNa2PaTe4 after structural relaxation, as listed in the Alexandria database.

Summary:
As for the volume: 355.6 Å³/f.u. For the mass density, the calculation gives 4.30 g/cm³. The final energy is -3.99 eV/atom. Its formation energy (no corrections) is -6.351 eV per formula unit.

a = 8.4643 Å, b = 7.7750 Å, c = 7.7750 Å
α = 65.96°, β = 57.02°, γ = 57.02°
Element x y z (fractional)
Cs1 0.0000 0.0000 0.0000
Na1 0.2500 0.2500 0.2500
Na2 0.7500 0.7500 0.7500
Pa1 0.5000 0.5000 0.5000
Te1 0.4607 0.1383 0.5392
Te2 0.1382 0.8617 0.4608
Te3 0.8618 0.5392 0.1383
Te4 0.5393 0.4608 0.8617

***

Entry 4:
First-principles (GGA-PBE) data for CsNaPaTe3 after structural relaxation, as listed in the Alexandria database.

Summary:
As for the volume: 249.8 Å³/f.u. For the mass density, the calculation gives 5.12 g/cm³. The final energy is -4.46 eV/atom. Its formation energy (no corrections) is -5.656 eV per formula unit.

a = 4.6525 Å, b = 10.1912 Å, c = 11.1557 Å
α = 109.20°, β = 90.00°, γ = 90.00°
Each line ends with the local moment (μB).
Element x y z (fractional)
Cs1 0.2500 0.2249 0.2622  0.00
Cs2 0.7500 0.7751 0.7378  0.00
Na1 0.2500 0.0705 0.6033  0.00
Na2 0.7500 0.9295 0.3967  0.00
Pa1 0.2500 0.6734 0.1458  1.02
Pa2 0.7500 0.3266 0.8542  1.02
Te1 0.7500 0.8643 0.1135  -0.03
Te2 0.2500 0.1357 0.8865  -0.03
Te3 0.2500 0.7564 0.4332  -0.02
Te4 0.7500 0.2436 0.5668  -0.02
Te5 0.7500 0.4689 0.1477  -0.03
Te6 0.2500 0.5311 0.8523  -0.03

***

Entry 5:
First-principles (GGA-PBE) data for Cs3Na2Pb after structural relaxation, as listed in the Alexandria database.

Summary:
As for the volume: 389.3 Å³/f.u. The value obtained for the formation energy is -0.0223 eV/atom. For the mass density, the calculation gives 2.78 g/cm³. The final energy is -1.51 eV/atom.

a = 9.7973 Å, b = 9.7973 Å, c = 8.4345 Å
α = 80.10°, β = 80.10°, γ = 95.75°
Element x y z (fractional)
Cs1 0.5852 0.4148 0.7500
Cs2 0.4148 0.5852 0.2500
Cs3 0.9304 0.7016 0.0637
Cs4 0.2984 0.0696 0.4363
Cs5 0.0696 0.2984 0.9363
Cs6 0.7016 0.9304 0.5637
Na1 0.0597 0.6539 0.5651
Na2 0.3461 0.9403 0.9349
Na3 0.6539 0.0597 0.0651
Na4 0.9403 0.3461 0.4349
Pb1 0.3044 0.6956 0.7500
Pb2 0.6956 0.3044 0.2500

***

Entry 6:
First-principles (GGA-PBE) data for Cs2NaPb2 after structural relaxation, as listed in the Alexandria database.

Summary:
As for the volume: 256.6 Å³/f.u. The value obtained for the formation energy is -0.0760 eV/atom. For the mass density, the calculation gives 4.55 g/cm³. The final energy is -2.16 eV/atom.

a = 7.7869 Å, b = 7.5813 Å, c = 10.3293 Å
α = 99.67°, β = 90.00°, γ = 120.90°
Element x y z (fractional)
Cs1 0.4752 0.2850 0.1301
Cs2 0.1902 0.7150 0.3699
Cs3 0.5248 0.7150 0.8699
Cs4 0.8098 0.2850 0.6301
Na1 0.9147 0.0000 0.2500
Na2 0.0853 0.0000 0.7500
Pb1 0.6812 0.6967 0.4954
Pb2 0.9844 0.3033 0.0046
Pb3 0.3188 0.3033 0.5046
Pb4 0.0156 0.6967 0.9954